La2MgSc SCAN single point on PBEsol structure; DOS(E_F) = 5.58 states/eV/cell; DFT formation energy = 0.29 eV/f.u.; SG = No. 166; mass density = 4940 kg/m3; total magnetization = 0.00 μB/atom
1.0
3.432 0.000 0.000
1.716 2.972 0.000
1.716 0.991 11.440
La Sc Mg
2 1 1
Direct
0.253 0.253 0.242
0.747 0.747 0.758
0.000 0.000 0.000
0.500 0.500 0.500